This record from Alexandria via LeMat-Bulk describes a relaxed structure of NpNi2AgO6. The functional is GGA+U.

The volume comes out at 153 Å³/cell. The size of the total moment comes out at 2.98 μB/cell. For the theoretical density, the calculation gives 6.04 g/cm3. As for the uncorrected energy: -6.07 eV per atom.

Cell: 6.0942 6.0942 4.1326 Å, 90.00 90.00 90.00°
Fractional coordinates of all 10 atoms:
1 Np 0.0000 0.0000 0.0000
2 Ni 0.0000 0.5000 0.0029
3 Ni 0.5000 0.0000 0.0029
4 Ag 0.5000 0.5000 0.9926
5 O 0.0000 0.0000 0.5004
6 O 0.2355 0.2355 0.0007
7 O 0.2355 0.7645 0.0007
8 O 0.5000 0.5000 0.4933
9 O 0.7645 0.2355 0.0007
10 O 0.7645 0.7645 0.0007